(one)
Compound: LaBr2F
Source: Alexandria via LeMat-Bulk
Functional: PBE
Structure: relaxed

a = 5.0566 Å, b = 5.0566 Å, c = 5.0566 Å
α = 60.00°, β = 60.00°, γ = 60.00°
Last column: nearest neighbours and their distance in Å.
Positions (direct):
La1 0.5000 0.5000 0.5000  8 Br 3.10
Br1 0.7500 0.7500 0.7500  4 La 3.10, 4 F 3.10
Br2 0.2500 0.2500 0.2500  4 F 3.10, 4 La 3.10
F1 0.0000 0.0000 0.0000  8 Br 3.10

Summary:
Calculated density ... 5.8 g/cm³
Magnetization ... 0.0 μB per formula unit

(two)
Compound: LaBr2F
Source: Alexandria via LeMat-Bulk
Functional: PBE
Structure: relaxed

a = 4.2423 Å, b = 4.2423 Å, c = 7.9454 Å
α = 75.25°, β = 75.25°, γ = 59.99°
Last column: nearest neighbours and their distance in Å.
Positions (direct):
Br1 0.2076 0.2076 0.3655  3 La 3.14, 3 F 3.14
Br2 0.0426 0.0426 0.8845  3 F 3.14, 3 La 3.14
F1 0.4583 0.4583 0.6250  3 La 2.45
La1 0.7916 0.7916 0.6250  3 F 2.45

Summary:
Calculated density ... 4.5 g/cm³
Magnetization ... 0.0 μB per formula unit

(three)
Compound: LaBr2F
Source: Alexandria via LeMat-Bulk
Functional: PBE
Structure: relaxed

a = 4.7453 Å, b = 4.7453 Å, c = 10.2525 Å
α = 76.62°, β = 76.62°, γ = 90.00°
Last column: nearest neighbours and their distance in Å.
Positions (direct):
F1 0.5000 0.5000 0.0000  4 Br 2.96
F2 0.2500 0.7500 0.5000  4 Br 2.96
Br1 0.6314 0.1250 0.2500  2 La 2.93, 2 F 2.96
Br2 0.8750 0.8814 0.7500  2 La 2.93, 2 F 2.96
Br3 0.3750 0.3686 0.7500  2 La 2.93, 2 F 2.96
Br4 0.1186 0.6250 0.2500  2 La 2.93, 2 F 2.96
La1 0.0000 0.0000 0.0000  4 Br 2.93
La2 0.7500 0.2500 0.5000  4 Br 2.93

Summary:
Calculated density ... 4.8 g/cm³
Magnetization ... 0.0 μB per formula unit

Which of them is the least stable? Correct choice: (three).

(one)
Compound: LaBrF3
Source: Alexandria via LeMat-Bulk
Functional: PBE
Structure: relaxed

a = 4.7063 Å, b = 4.7063 Å, c = 4.7063 Å
α = 90.00°, β = 90.00°, γ = 90.00°
Last column: nearest neighbours and their distance in Å.
Positions (direct):
F1 0.5000 0.0000 0.0000  2 Br 2.35
F2 0.0000 0.0000 0.5000  2 Br 2.35
F3 0.0000 0.5000 0.0000  2 Br 2.35
Br1 0.0000 0.0000 0.0000  6 F 2.35
La1 0.5000 0.5000 0.5000  12 F 3.33

Summary:
Calculated density ... 4.4 g/cm³
Magnetization ... 0.4 μB per formula unit

(two)
Compound: LaBrF3
Source: Alexandria via LeMat-Bulk
Functional: PBE
Structure: relaxed

a = 4.7279 Å, b = 4.7279 Å, c = 4.7279 Å
α = 90.00°, β = 90.00°, γ = 90.00°
Last column: nearest neighbours and their distance in Å.
Positions (direct):
F1 0.0000 0.5000 0.0000  2 La 2.36
F2 0.5000 0.0000 0.0000  2 La 2.36
F3 0.0000 0.0000 0.5000  2 La 2.36
La1 0.0000 0.0000 0.0000  6 F 2.36
Br1 0.5000 0.5000 0.5000  12 F 3.34

Summary:
Calculated density ... 4.3 g/cm³
Magnetization ... 1.0 μB per formula unit

Which of them is the least stable? Correct choice: (one).

(one)
Compound: LaBr3F
Source: Alexandria via LeMat-Bulk
Functional: PBE
Structure: relaxed

a = 5.0279 Å, b = 5.0279 Å, c = 5.0279 Å
α = 90.00°, β = 90.00°, γ = 90.00°
Last column: nearest neighbours and their distance in Å.
Positions (direct):
Br1 0.0000 0.0000 0.5000  2 F 2.51
Br2 0.5000 0.0000 0.0000  2 F 2.51
Br3 0.0000 0.5000 0.0000  2 F 2.51
F1 0.0000 0.0000 0.0000  6 Br 2.51
La1 0.5000 0.5000 0.5000  12 Br 3.56

Summary:
Calculated density ... 5.2 g/cm³
Magnetization ... 1.0 μB per formula unit

(two)
Compound: LaBr3F
Source: Alexandria via LeMat-Bulk
Functional: PBE
Structure: relaxed

a = 5.8543 Å, b = 5.8543 Å, c = 5.8543 Å
α = 90.00°, β = 90.00°, γ = 90.00°
Last column: nearest neighbours and their distance in Å.
Positions (direct):
Br1 0.0000 0.0000 0.5000  2 La 2.93
Br2 0.0000 0.5000 0.0000  2 La 2.93
Br3 0.5000 0.0000 0.0000  2 La 2.93
F1 0.5000 0.5000 0.5000  12 Br 4.14
La1 0.0000 0.0000 0.0000  6 Br 2.93

Summary:
Calculated density ... 3.3 g/cm³
Magnetization ... 1.0 μB per formula unit

Which of them is the least stable? Correct choice: (one).

(one)
Compound: LaTeSBrF
Source: Alexandria via LeMat-Bulk
Functional: PBE
Structure: relaxed

a = 3.9070 Å, b = 5.1007 Å, c = 8.4770 Å
α = 81.76°, β = 76.70°, γ = 67.27°
Last column: nearest neighbours and their distance in Å.
Positions (direct):
La1 0.4315 0.2181 0.0193  2 F 2.33-2.34
Te1 0.7578 0.9124 0.6668  1 S 2.41
F1 0.0641 0.9454 0.0285  2 La 2.33-2.34
S1 0.9675 0.4132 0.7512  1 Te 2.41
Br1 0.6761 0.5115 0.2366  2 La 3.04, 3 F 3.23-3.25

Summary:
Calculated density ... 4.4 g/cm³
Magnetization ... 0.0 μB per formula unit

(two)
Compound: LaTeSBrF
Source: Alexandria via LeMat-Bulk
Functional: PBE
Structure: relaxed

a = 4.1665 Å, b = 5.8388 Å, c = 6.0067 Å
α = 91.61°, β = 109.39°, γ = 106.92°
Last column: nearest neighbours and their distance in Å.
Positions (direct):
Te1 0.1549 0.8764 0.3214  1 S 2.41
Br1 0.6547 0.3737 0.3254  2 Te 3.03-3.07, 2 La 3.18-3.26, 3 F 3.24-3.33
F1 0.9936 0.4915 0.9007  2 La 2.33
S1 0.1501 0.9892 0.7099  1 Te 2.41
La1 0.4474 0.5664 0.7420  2 F 2.33

Summary:
Calculated density ... 5.1 g/cm³
Magnetization ... 0.0 μB per formula unit

(three)
Compound: LaTeSBrF
Source: Alexandria via LeMat-Bulk
Functional: PBE
Structure: relaxed

a = 8.5595 Å, b = 4.3418 Å, c = 7.6213 Å
α = 90.00°, β = 93.95°, γ = 90.00°
Last column: nearest neighbours and their distance in Å.
Positions (direct):
F1 0.1292 0.5000 0.2390  3 La 2.52-2.54
F2 0.1292 0.0000 0.7390  3 La 2.52-2.54
Br1 0.9013 0.5000 0.5522  3 La 3.17-3.21, 3 F 3.18-3.19
Br2 0.9013 0.0000 0.0522  3 La 3.17-3.21, 3 F 3.18-3.19
La1 0.1284 0.5000 0.9056  3 F 2.52-2.54
La2 0.1284 0.0000 0.4056  3 F 2.52-2.54
Te1 0.4935 0.0000 0.5841  2 S 2.52
Te2 0.4935 0.5000 0.0841  2 S 2.52
S1 0.3480 0.0000 0.1165  2 Te 2.52
S2 0.3480 0.5000 0.6165  2 Te 2.52

Summary:
Calculated density ... 4.7 g/cm³
Magnetization ... 0.0 μB per formula unit

Which of them is the least stable? Correct choice: (two).

(one)
Compound: LaTeSBrF
Source: Alexandria via LeMat-Bulk
Functional: PBE
Structure: relaxed

a = 8.6018 Å, b = 3.8251 Å, c = 11.3601 Å
α = 90.00°, β = 127.57°, γ = 90.00°
Last column: nearest neighbours and their distance in Å.
Positions (direct):
S1 0.4793 0.5000 0.8432  1 Te 2.37
S2 0.4793 0.0000 0.3432  1 Te 2.37
Br1 0.7936 0.5000 0.2683  3 La 3.08-3.27, 3 F 3.33-3.36
Br2 0.7936 0.0000 0.7683  3 La 3.08-3.27, 3 F 3.33-3.36
Te1 0.2707 0.5000 0.9136  1 S 2.37
Te2 0.2707 0.0000 0.4136  1 S 2.37
La1 0.7995 0.5000 0.5585  2 F 2.31
La2 0.7995 0.0000 0.0585  2 F 2.31
F1 0.9546 0.5000 0.0655  2 La 2.31
F2 0.9546 0.0000 0.5655  2 La 2.31

Summary:
Calculated density ... 4.5 g/cm³
Magnetization ... 0.0 μB per formula unit

(two)
Compound: LaTeSBrF
Source: Alexandria via LeMat-Bulk
Functional: PBE
Structure: relaxed

a = 4.5842 Å, b = 4.5832 Å, c = 7.8451 Å
α = 97.82°, β = 105.46°, γ = 92.60°
Last column: nearest neighbours and their distance in Å.
Positions (direct):
S1 0.8562 0.3839 0.3732  1 Te 2.45
Te1 0.7597 0.8712 0.5092  1 S 2.45
Br1 0.6258 0.4480 0.8759  2 La 2.99-3.07
La1 0.2607 0.5018 0.1405  2 F 2.32
F1 0.1999 0.9903 0.1016  2 La 2.32

Summary:
Calculated density ... 4.2 g/cm³
Magnetization ... 0.0 μB per formula unit

(three)
Compound: LaTeSBrF
Source: Alexandria via LeMat-Bulk
Functional: PBE
Structure: relaxed

a = 6.2009 Å, b = 4.3592 Å, c = 10.6284 Å
α = 90.00°, β = 111.93°, γ = 90.00°
Last column: nearest neighbours and their distance in Å.
Positions (direct):
F1 0.9922 0.5000 0.7375  2 La 2.35
F2 0.9922 0.0000 0.2375  2 La 2.35
S1 0.3459 0.5000 0.1709  2 Te 2.52
S2 0.3459 0.0000 0.6709  2 Te 2.52
Te1 0.3572 0.5000 0.5541  2 S 2.52
Te2 0.3572 0.0000 0.0541  2 S 2.52
Br1 0.7455 0.5000 0.9398  3 La 3.07-3.24, 1 F 3.07
Br2 0.7455 0.0000 0.4398  3 La 3.07-3.24, 1 F 3.07
La1 0.8569 0.5000 0.2462  2 F 2.35
La2 0.8569 0.0000 0.7462  2 F 2.35

Summary:
Calculated density ... 5.0 g/cm³
Magnetization ... 0.0 μB per formula unit

Which of them is the least stable? Correct choice: (one).

(one)
Compound: LaSe2BrF
Source: Alexandria via LeMat-Bulk
Functional: PBE
Structure: relaxed

a = 4.5707 Å, b = 4.5707 Å, c = 5.4330 Å
α = 90.00°, β = 90.00°, γ = 90.00°
Last column: nearest neighbours and their distance in Å.
Positions (direct):
Se1 0.5000 0.0000 0.0000  2 F 2.29
Se2 0.0000 0.5000 0.0000  2 F 2.29
Br1 0.0000 0.0000 0.5000  2 F 2.72
F1 0.0000 0.0000 0.0000  4 Se 2.29
La1 0.5000 0.5000 0.5000  4 Br 3.23, 8 Se 3.55

Summary:
Calculated density ... 5.8 g/cm³
Magnetization ... 0.0 μB per formula unit

(two)
Compound: LaSe2BrF
Source: Alexandria via LeMat-Bulk
Functional: PBE
Structure: relaxed

a = 5.9637 Å, b = 5.9637 Å, c = 5.7651 Å
α = 90.00°, β = 90.00°, γ = 90.00°
Last column: nearest neighbours and their distance in Å.
Positions (direct):
Se1 0.5000 0.0000 0.0000  2 La 2.98
Se2 0.0000 0.5000 0.0000  2 La 2.98
Br1 0.0000 0.0000 0.5000  2 La 2.88
La1 0.0000 0.0000 0.0000  2 Br 2.88, 4 Se 2.98
F1 0.5000 0.5000 0.5000  8 Se 4.15, 4 Br 4.22

Summary:
Calculated density ... 3.2 g/cm³
Magnetization ... 3.0 μB per formula unit

Which of them is the least stable? Correct choice: (two).

(one)
Compound: LiBr2F
Source: Alexandria via LeMat-Bulk
Functional: PBE
Structure: relaxed

a = 3.5048 Å, b = 5.0609 Å, c = 6.9979 Å
α = 69.62°, β = 89.62°, γ = 89.93°
Last column: nearest neighbours and their distance in Å.
Positions (direct):
Br1 0.7208 0.7005 0.7990  2 Br 2.57
Br2 0.7196 0.1656 0.8715  2 Br 2.57
F1 0.2254 0.4313 0.3351  2 Li 1.75
Li1 0.7255 0.4314 0.3352  2 F 1.75

Summary:
Calculated density ... 2.7 g/cm³
Magnetization ... 0.0 μB per formula unit

(two)
Compound: LiBr2F
Source: Alexandria via LeMat-Bulk
Functional: PBE
Structure: relaxed

a = 3.8534 Å, b = 3.8534 Å, c = 13.3642 Å
α = 81.71°, β = 81.71°, γ = 90.00°
Last column: nearest neighbours and their distance in Å.
Positions (direct):
Li1 0.5000 0.5000 0.0000  4 F 2.72
Li2 0.2500 0.7500 0.5000  4 F 2.72
Br1 0.1247 0.6250 0.2500  4 Br 2.72-2.73
Br2 0.6253 0.1250 0.2500  4 Br 2.72-2.73
Br3 0.8750 0.8753 0.7500  4 Br 2.72-2.73
Br4 0.3750 0.3747 0.7500  4 Br 2.72-2.73
F1 0.7500 0.2500 0.5000  4 Li 2.72
F2 0.0000 0.0000 0.0000  4 Li 2.72

Summary:
Calculated density ... 3.2 g/cm³
Magnetization ... 0.0 μB per formula unit

(three)
Compound: LiBr2F
Source: Alexandria via LeMat-Bulk
Functional: PBE
Structure: relaxed

a = 7.2674 Å, b = 7.2674 Å, c = 7.2674 Å
α = 33.28°, β = 33.28°, γ = 33.28°
Last column: nearest neighbours and their distance in Å.
Positions (direct):
F1 0.0000 0.0000 0.0000  2 Br 2.14
Li1 0.5000 0.5000 0.5000  6 Br 2.73
Br1 0.8960 0.8960 0.8960  1 F 2.14
Br2 0.1040 0.1040 0.1040  1 F 2.14

Summary:
Calculated density ... 3.0 g/cm³
Magnetization ... 0.0 μB per formula unit

(four)
Compound: LiBr2F
Source: Alexandria via LeMat-Bulk
Functional: PBE
Structure: relaxed

a = 4.7948 Å, b = 4.7948 Å, c = 4.7948 Å
α = 60.00°, β = 60.00°, γ = 60.00°
Last column: nearest neighbours and their distance in Å.
Positions (direct):
Li1 0.0000 0.0000 0.0000  8 Br 2.94
F1 0.5000 0.5000 0.5000  8 Br 2.94
Br1 0.7500 0.7500 0.7500  4 F 2.94, 4 Li 2.94
Br2 0.2500 0.2500 0.2500  4 F 2.94, 4 Li 2.94

Summary:
Calculated density ... 4.0 g/cm³
Magnetization ... 2.0 μB per formula unit

Which of them is the least stable? Correct choice: (four).

(one)
Compound: LiBrF3
Source: Alexandria via LeMat-Bulk
Functional: PBE
Structure: relaxed

a = 4.5315 Å, b = 4.5315 Å, c = 4.5315 Å
α = 90.00°, β = 90.00°, γ = 90.00°
Last column: nearest neighbours and their distance in Å.
Positions (direct):
F1 0.5000 0.0000 0.0000  2 Br 2.27
F2 0.0000 0.0000 0.5000  2 Br 2.27
F3 0.0000 0.5000 0.0000  2 Br 2.27
Li1 0.5000 0.5000 0.5000  12 F 3.20
Br1 0.0000 0.0000 0.0000  6 F 2.27

Summary:
Calculated density ... 2.6 g/cm³
Magnetization ... 0.0 μB per formula unit

(two)
Compound: LiBrF3
Source: Alexandria via LeMat-Bulk
Functional: PBE
Structure: relaxed

a = 3.8747 Å, b = 3.8747 Å, c = 3.8747 Å
α = 90.00°, β = 90.00°, γ = 90.00°
Last column: nearest neighbours and their distance in Å.
Positions (direct):
F1 0.0000 0.5000 0.0000  2 Li 1.94
F2 0.5000 0.0000 0.0000  2 Li 1.94
F3 0.0000 0.0000 0.5000  2 Li 1.94
Br1 0.5000 0.5000 0.5000  12 F 2.74
Li1 0.0000 0.0000 0.0000  6 F 1.94

Summary:
Calculated density ... 4.1 g/cm³
Magnetization ... 1.4 μB per formula unit

Which of them is the least stable? Correct choice: (one).